No. 1
BaMg2Cd: relaxed, PBE.

a b c (Å): 5.051 5.051 6.760
angles (deg): 68.04 68.04 60.05
Element x y z (fractional)
Mg 0.987 0.987 0.039
Mg 0.703 0.703 0.893
Ba 0.504 0.504 0.486
Cd 0.306 0.306 0.082

Results
* total DFT energy (no corrections): -1.624 eV/atom

=====

No. 2
BaMg6Cd: relaxed, PBE.

a b c (Å): 7.714 7.714 5.069
angles (deg): 90.00 90.00 131.59
Element x y z (fractional)
Ba 0.792 0.208 0.500
Mg 0.830 0.698 0.500
Mg 0.302 0.170 0.500
Mg 0.682 0.822 0.000
Mg 0.178 0.318 0.000
Mg 0.622 0.378 0.000
Mg 0.205 0.795 0.000
Cd 0.388 0.612 0.500

Results
* ΔE to the lowest computed polymorph: 37.0 meV per atom